Record 1
GGA-PBEsol CdRe2Hg, optimized geometry; energy relative to the elements = 0.768 eV per atom; mass density = 16.23 g/cm3
1.0
-0.694 2.222 -1.963
-4.530 0.037 1.645
3.826 2.137 3.428
Re Hg Cd
2 1 1
Direct
0.025 0.025 0.050
0.724 0.224 0.448
0.263 0.763 0.526
0.489 0.489 0.977

Record 2
GGA-PBEsol Ta2CdReHg, optimized geometry; energy relative to the elements = 2.412 eV per atom; mass density = 12.66 g/cm3
1.0
4.783 0.000 0.000
0.000 4.859 0.000
0.000 0.000 4.859
Ta Cd Hg Re
2 1 1 1
Direct
0.000 0.500 0.000
0.000 0.000 0.500
0.000 0.000 0.000
0.500 0.500 0.500
0.500 0.000 0.000

Record 3
GGA-PBEsol CdHgRh, optimized geometry; energy relative to the elements = 0.040 eV per atom; mass density = 13.29 g/cm3
1.0
3.063 0.000 0.000
0.000 3.835 0.000
-1.531 -1.917 4.425
Hg Cd Rh
1 1 1
Direct
0.673 0.673 0.345
0.993 0.993 0.985
0.335 0.335 0.670

Record 4
GGA-PBEsol CdHg2Rh, optimized geometry; energy relative to the elements = 0.092 eV per atom; mass density = 14.05 g/cm3
1.0
-2.154 -2.193 0.072
1.931 -1.798 3.013
-3.112 3.185 3.895
Hg Cd Rh
2 1 1
Direct
0.000 0.000 0.764
0.000 0.000 0.236
0.500 0.500 0.500
0.500 0.500 0.000